[1]
An optimized crystal structure of BiPdO3, computed with GGA-PBE.

Unit cell a=5.8099 b=5.8099 c=12.9305 alpha=90.00 beta=90.00 gamma=120.00
Closest atoms and distances in Å follow each position.
Space group R-3c (No. 167, hexagonal axes)
Inequivalent atoms, fractional coordinates:
Bi (0.0000, 0.0000, 0.2500) (multiplicity 6)  3 O 2.31
Pd (0.0000, 0.0000, 0.0000) (multiplicity 6)  6 O 2.08
O (0.0000, 0.3978, 0.2500) (multiplicity 18)  2 Pd 2.08, 1 Bi 2.31

Results
ρ   9.58 g/cm³
Total energy   -0.202 Ha/atom

---

[2]
An optimized crystal structure of BiPdO3, computed with GGA-PBE.

Unit cell a=3.9462 b=3.9462 c=4.2843 alpha=90.00 beta=90.00 gamma=90.00
Closest atoms and distances in Å follow each position.
Space group P4mm (No. 99)
Inequivalent atoms, fractional coordinates:
Bi (0.0000, 0.0000, 0.0000) (multiplicity 1)  4 O 2.40
Pd (0.5000, 0.5000, 0.5930) (multiplicity 1)  6 O 2.01-2.19
O (0.0000, 0.5000, 0.6810) (multiplicity 2)  2 Pd 2.01
O (0.5000, 0.5000, 0.1032) (multiplicity 1)  2 Pd 2.10-2.19

Results
ρ   9.04 g/cm³
Total energy   -0.200 Ha/atom

---

[3]
An optimized crystal structure of Bi2Pd2O5, computed with GGA-PBE.

Unit cell a=4.0705 b=4.0705 c=7.0562 alpha=90.00 beta=90.00 gamma=90.00
Closest atoms and distances in Å follow each position.
Space group P4/mmm (No. 123)
Inequivalent atoms, fractional coordinates:
Bi (0.0000, 0.0000, 0.0000) (multiplicity 1)  8 O 2.61
Bi (0.0000, 0.0000, 0.5000) (multiplicity 1)  12 O 2.79-2.88
Pd (0.5000, 0.5000, 0.1945) (multiplicity 2)  5 O 2.05-2.16
O (0.0000, 0.5000, 0.2305) (multiplicity 4)  2 Pd 2.05
O (0.5000, 0.5000, 0.5000) (multiplicity 1)  2 Pd 2.16

Results
Energy above the most stable polymorph in this dataset   0.00 kJ per mole of atoms
ρ   10.10 g/cm³

---

[4]
An optimized crystal structure of Bi2PdSe4O12, computed with GGA-PBE.

Unit cell a=10.6692 b=7.1006 c=8.1169 alpha=90.00 beta=109.42 gamma=90.00
Closest atoms and distances in Å follow each position.
Space group P2_1/c (No. 14)
Inequivalent atoms, fractional coordinates:
Bi (0.0890, 0.1330, 0.2367) (multiplicity 4)  7 O 2.34-2.58
Pd (0.5000, 0.0000, 0.5000) (multiplicity 2)  4 O 2.01-2.03
Se (0.1909, 0.6730, 0.1380) (multiplicity 4)  3 O 1.71-1.77
Se (0.3696, 0.1686, 0.1133) (multiplicity 4)  3 O 1.71-1.76
O (0.0673, 0.6496, 0.5817) (multiplicity 4)  1 Se 1.77
O (0.0995, 0.5041, 0.2000) (multiplicity 4)  1 Se 1.72
O (0.1795, 0.6180, 0.9284) (multiplicity 4)  1 Se 1.71
O (0.2035, 0.2085, 0.0149) (multiplicity 4)  1 Se 1.71
O (0.3411, 0.0934, 0.3044) (multiplicity 4)  1 Se 1.76
O (0.4349, 0.1101, 0.6874) (multiplicity 4)  1 Se 1.74

Results
ρ   5.91 g/cm³
Total energy   -0.200 Ha/atom

---

[5]
An optimized crystal structure of YBiPd2O6, computed with GGA-PBE.

Unit cell a=8.4183 b=8.4183 c=8.4183 alpha=90.00 beta=90.00 gamma=90.00
Closest atoms and distances in Å follow each position.
Space group Fm-3m (No. 225)
Inequivalent atoms, fractional coordinates:
Y (0.0000, 0.0000, 0.0000) (multiplicity 4)  6 O 2.16
Bi (0.0000, 0.0000, 0.5000) (multiplicity 4)  6 O 2.05
Pd (0.2500, 0.2500, 0.2500) (multiplicity 8)  12 O 2.98
O (0.0000, 0.0000, 0.2567) (multiplicity 24)  1 Bi 2.05, 1 Y 2.16

Results
Spin magnetization   4.014 μB per formula unit
ρ   6.75 g/cm³
Total energy   -0.208 Ha/atom

---

[6]
An optimized crystal structure of Pm2Bi2O5, computed with GGA-PBE.

Unit cell a=3.9758 b=3.9758 c=9.8136 alpha=90.00 beta=90.00 gamma=90.00
Closest atoms and distances in Å follow each position.
Space group P4/mmm (No. 123)
Inequivalent atoms, fractional coordinates:
Pm (0.0000, 0.0000, 0.2474) (multiplicity 2)  5 O 2.26-2.43
Bi (0.5000, 0.5000, 0.0000) (multiplicity 1)  4 O 2.81
Bi (0.5000, 0.5000, 0.5000) (multiplicity 1)  8 O 2.43
O (0.0000, 0.0000, 0.0000) (multiplicity 1)  2 Pm 2.43
O (0.0000, 0.5000, 0.3571) (multiplicity 4)  2 Pm 2.26, 2 Bi 2.43

Results
Energy above the most stable polymorph in this dataset   0.00 kJ per mole of atoms
Spin magnetization   0.000 μB per formula unit
ρ   8.43 g/cm³